Below is crystalline Nb2CoPt2 at its relaxed geometry, with properties calculated at the PBE level.

As for the density: 13513 kg/m3. For the energy above the most stable polymorph in this dataset, the calculation gives 0.000 eV per atom.

The space group is C2/m (No. 12) and the conventional cell measures 9.0076, 3.7869 and 6.3214 Å, with angles of 90.00, 133.64 and 90.00 degrees. The asymmetric unit holds Nb at (0.0815, 0.0000, 0.3039), Co at (0.0000, 0.5000, 0.5000) and Pt at (0.2025, 0.5000, 0.1117).

Below is crystalline NbCoPtRh at its relaxed geometry, with properties calculated at the PBE level.

As for the density: 12933 kg/m3. The value obtained for the energy is -8.1086 eV per atom.

The space group is Pmmm (No. 47) and the conventional cell measures 3.7966, 3.8745 and 3.9264 Å, with angles of 90.00, 90.00 and 90.00 degrees. The asymmetric unit holds Nb at (0.0000, 0.0000, 0.0000), Co at (0.5000, 0.0000, 0.5000), Pt at (0.0000, 0.5000, 0.5000) and Rh at (0.5000, 0.5000, 0.0000).

Below is crystalline TiNbCoPt at its relaxed geometry, with properties calculated at the PBE level.

As for the density: 11185 kg/m3. The value obtained for the energy is -8.1730 eV per atom.

The space group is F-43m (No. 216) and the conventional cell measures 6.1661, 6.1661 and 6.1661 Å, with angles of 90.00, 90.00 and 90.00 degrees. The asymmetric unit holds Ti at (0.0000, 0.0000, 0.0000), Nb at (0.2500, 0.2500, 0.7500), Co at (0.0000, 0.0000, 0.5000) and Pt at (0.2500, 0.2500, 0.2500).

Below is crystalline YNbCo2Pt at its relaxed geometry, with properties calculated at the PBE level.

As for the density: 8011 kg/m3. The value obtained for the energy is -6.2910 eV per atom.

The space group is P4/mmm (No. 123) and the conventional cell measures 4.3838, 4.3838 and 5.3363 Å, with angles of 90.00, 90.00 and 90.00 degrees. The asymmetric unit holds Y at (0.0000, 0.0000, 0.0000), Nb at (0.0000, 0.0000, 0.5000), Co at (0.0000, 0.5000, 0.5000) and Pt at (0.5000, 0.5000, 0.0000).

| no. | V (Å³ per atom) |
| --- | --- |
| 1 | 15.604 |
| 2 | 14.439 |
| 3 | 14.653 |
| 4 | 20.510 |